Compound: Cr3Mo2W
Source: Alexandria via LeMat-Bulk
Functional: PBE
Structure: optimized geometry

size of the total moment = 0.0 μB/cell
density of states at the Fermi level = 8.594 states/eV per cell
ΔE_f = 39 meV per atom

a b c (Å): 4.2728 12.8337 3.0247
angles (deg): 90.00 90.00 90.00
With the nearest neighbours (Å) after each atom.
Space group Cmmm (No. 65)
Inequivalent atoms, fractional coordinates:
Cr  0.0000  0.0000  0.0000 x2  4 W 2.62, 4 Mo 2.62
Cr  0.0000  0.3331  0.0000 x4  6 Mo 2.62, 2 W 2.62
Mo  0.0000  0.1666  0.5000 x4  8 Cr 2.62
W  0.0000  0.5000  0.5000 x2  8 Cr 2.62

Compound: CaTaSe2
Source: Alexandria via LeMat-Bulk
Functional: PBE
Structure: optimized geometry

energy relative to the elements, uncorrected = -3.02 eV/f.u.
size of the total moment = 0.0 μB/cell
energy above the most stable polymorph in this dataset = 116 meV per atom
density of states at the Fermi level = 2.052 states/eV per cell

a b c (Å): 3.3345 3.3345 7.0498
angles (deg): 90.00 90.00 90.00
With the nearest neighbours (Å) after each atom.
Space group P4/mmm (No. 123)
Inequivalent atoms, fractional coordinates:
Ca  0.0000  0.0000  0.0000 x1  8 Se 3.08, 4 Ca 3.33
Ta  0.0000  0.0000  0.5000 x1  8 Se 2.82
Se  0.5000  0.5000  0.2811 x2  4 Ta 2.82, 4 Ca 3.08, 1 Se 3.09

Compound: Sm4Bi3Te
Source: Alexandria via LeMat-Bulk
Functional: PBE
Structure: optimized geometry

energy relative to the elements, uncorrected = -8.49 eV/f.u.
size of the total moment = 0.0 μB/cell
energy above the most stable polymorph in this dataset = 4 meV per atom
density of states at the Fermi level = 6.273 states/eV per cell

a b c (Å): 6.4091 6.4091 12.8138
angles (deg): 90.00 90.00 90.00
With the nearest neighbours (Å) after each atom.
Space group I4/mmm (No. 139)
Inequivalent atoms, fractional coordinates:
Sm  0.0000  0.0000  0.2492 x4  5 Bi 3.19-3.20, 1 Te 3.21
Sm  0.0000  0.5000  0.0000 x4  4 Bi 3.20, 2 Te 3.20
Bi  0.0000  0.0000  0.0000 x2  6 Sm 3.19-3.20
Bi  0.0000  0.5000  0.2500 x4  6 Sm 3.20
Te  0.0000  0.0000  0.5000 x2  6 Sm 3.20-3.21